# 1
VASP calculation (PBE) on a geometry-optimized Pm6DyPb structure.

Results
V	32.26	A^3/atom
formation energy from the elements	-0.143	eV per atom
calculated density	8.0	g cm⁻³
uncorrected energy	-4.74	eV per atom

a = 4.996 Å, b = 4.996 Å, c = 10.339 Å
α = 90.00°, β = 90.00°, γ = 90.00°
Atoms (fractional coordinates):
Pm (0.500, 0.500, 0.000)
Pm (0.500, 0.500, 0.500)
Pm (0.500, 0.000, 0.245)
Pm (0.500, 0.000, 0.755)
Pm (0.000, 0.500, 0.245)
Pm (0.000, 0.500, 0.755)
Dy (0.000, 0.000, 0.500)
Pb (0.000, 0.000, 0.000)


# 2
VASP calculation (PBE) on a geometry-optimized PmDyPb4 structure.

Results
V	31.01	A^3/atom
formation energy from the elements	-0.208	eV per atom
calculated density	10.1	g cm⁻³
uncorrected energy	-4.24	eV per atom

a = 8.276 Å, b = 6.757 Å, c = 8.293 Å
α = 106.23°, β = 113.24°, γ = 104.86°
Atoms (fractional coordinates):
Pm (0.415, 0.665, 0.331)
Pm (0.585, 0.335, 0.669)
Dy (0.273, 0.023, 0.046)
Dy (0.727, 0.977, 0.954)
Pb (0.003, 0.285, 0.857)
Pb (0.861, 0.734, 0.627)
Pb (0.354, 0.572, 0.857)
Pb (0.266, 0.893, 0.627)
Pb (0.734, 0.107, 0.373)
Pb (0.646, 0.428, 0.143)
Pb (0.139, 0.266, 0.373)
Pb (0.997, 0.715, 0.143)


# 3
VASP calculation (PBE) on a geometry-optimized PmDy3Pb2 structure.

Results
V	34.39	A^3/atom
formation energy from the elements	-0.157	eV per atom
calculated density	8.4	g cm⁻³
uncorrected energy	-4.49	eV per atom

a = 7.498 Å, b = 7.508 Å, c = 9.049 Å
α = 114.51°, β = 114.48°, γ = 90.00°
Atoms (fractional coordinates):
Pm (0.000, 0.500, 0.000)
Pm (0.000, 0.000, 0.000)
Dy (0.500, 0.250, 0.000)
Dy (0.500, 0.750, 0.000)
Dy (0.790, 0.040, 0.580)
Dy (0.210, 0.460, 0.420)
Dy (0.210, 0.960, 0.420)
Dy (0.790, 0.540, 0.580)
Pb (0.536, 0.357, 0.713)
Pb (0.823, 0.143, 0.287)
Pb (0.177, 0.857, 0.713)
Pb (0.464, 0.643, 0.287)


# 4
VASP calculation (PBE) on a geometry-optimized PmDyPb2 structure.

Results
V	28.90	A^3/atom
formation energy from the elements	-0.464	eV per atom
calculated density	10.4	g cm⁻³
uncorrected energy	-4.66	eV per atom

a = 4.514 Å, b = 5.060 Å, c = 5.060 Å
α = 90.00°, β = 90.00°, γ = 90.00°
Atoms (fractional coordinates):
Pb (0.000, 0.000, 0.500)
Pb (0.000, 0.500, 0.000)
Pm (0.500, 0.000, 0.000)
Dy (0.500, 0.500, 0.500)


# 5
VASP calculation (PBE) on a geometry-optimized Pm3Dy5Pb2 structure.

Results
V	31.48	A^3/atom
formation energy from the elements	-0.197	eV per atom
calculated density	8.8	g cm⁻³
uncorrected energy	-4.66	eV per atom

a = 6.585 Å, b = 11.442 Å, c = 11.442 Å
α = 85.91°, β = 60.09°, γ = 60.08°
Atoms (fractional coordinates):
Pm (0.250, 0.978, 0.021)
Pm (0.750, 0.022, 0.979)
Pm (0.346, 0.345, 0.889)
Pm (0.654, 0.655, 0.111)
Pm (0.846, 0.889, 0.345)
Pm (0.154, 0.111, 0.655)
Dy (0.250, 0.529, 0.471)
Dy (0.750, 0.471, 0.529)
Dy (0.575, 0.777, 0.683)
Dy (0.925, 0.317, 0.223)
Dy (0.425, 0.223, 0.317)
Dy (0.075, 0.683, 0.777)
Dy (0.142, 0.534, 0.218)
Dy (0.858, 0.466, 0.782)
Dy (0.641, 0.218, 0.534)
Dy (0.359, 0.782, 0.466)
Pb (0.203, 0.713, 0.001)
Pb (0.797, 0.287, 0.999)
Pb (0.703, 0.001, 0.713)
Pb (0.297, 0.999, 0.287)


# 6
VASP calculation (PBE) on a geometry-optimized Pm5DyPb4 structure.

Results
V	33.43	A^3/atom
formation energy from the elements	-0.371	eV per atom
calculated density	8.5	g cm⁻³
uncorrected energy	-4.69	eV per atom

a = 5.465 Å, b = 7.326 Å, c = 11.396 Å
α = 129.55°, β = 103.87°, γ = 90.00°
Atoms (fractional coordinates):
Pm (0.833, 0.674, 0.667)
Pm (0.834, 0.163, 0.668)
Pm (0.166, 0.837, 0.332)
Pm (0.500, 0.500, 0.000)
Pm (0.167, 0.326, 0.333)
Dy (0.500, 0.000, 0.000)
Pb (0.325, 0.899, 0.651)
Pb (0.991, 0.737, 0.983)
Pb (0.675, 0.101, 0.349)
Pb (0.009, 0.263, 0.017)


# 7
VASP calculation (PBE) on a geometry-optimized PmDyPb2 structure.

Results
V	30.25	A^3/atom
formation energy from the elements	-0.514	eV per atom
calculated density	9.9	g cm⁻³
uncorrected energy	-4.71	eV per atom

a = 4.571 Å, b = 4.486 Å, c = 6.326 Å
α = 90.00°, β = 111.12°, γ = 90.00°
Atoms (fractional coordinates):
Pm (0.453, 0.500, 0.443)
Dy (0.712, 0.000, 0.966)
Pb (0.181, 0.500, 0.903)
Pb (0.985, 0.000, 0.507)


# 8
VASP calculation (PBE) on a geometry-optimized Pm2DyPb structure.

Results
V	29.92	A^3/atom
formation energy from the elements	-0.314	eV per atom
calculated density	9.2	g cm⁻³
uncorrected energy	-4.77	eV per atom

a = 4.978 Å, b = 4.903 Å, c = 4.903 Å
α = 90.00°, β = 90.00°, γ = 90.00°
Atoms (fractional coordinates):
Pb (0.500, 0.000, 0.000)
Pm (0.000, 0.000, 0.500)
Pm (0.000, 0.500, 0.000)
Dy (0.500, 0.500, 0.500)


Please write out number 1 again, unchanged.
VASP calculation (PBE) on a geometry-optimized Pm6DyPb structure.

Results
V	32.26	A^3/atom
formation energy from the elements	-0.143	eV per atom
calculated density	8.0	g cm⁻³
uncorrected energy	-4.74	eV per atom

a = 4.996 Å, b = 4.996 Å, c = 10.339 Å
α = 90.00°, β = 90.00°, γ = 90.00°
Atoms (fractional coordinates):
Pm (0.500, 0.500, 0.000)
Pm (0.500, 0.500, 0.500)
Pm (0.500, 0.000, 0.245)
Pm (0.500, 0.000, 0.755)
Pm (0.000, 0.500, 0.245)
Pm (0.000, 0.500, 0.755)
Dy (0.000, 0.000, 0.500)
Pb (0.000, 0.000, 0.000)